Record 1
Density functional theory data (PBE-GGA) for a geometry-optimized TbBe3B3 structure.

a = 7.169 Å, b = 3.077 Å, c = 7.257 Å
α = 90.00°, β = 90.48°, γ = 90.00°
Atoms (fractional coordinates):
Tb  0.234  0.250  0.263
Tb  0.766  0.750  0.737
Be  0.105  0.250  0.817
Be  0.185  0.750  0.612
Be  0.388  0.250  0.675
Be  0.612  0.750  0.325
Be  0.815  0.250  0.388
Be  0.895  0.750  0.183
B  0.011  0.250  0.563
B  0.045  0.750  0.977
B  0.438  0.750  0.511
B  0.562  0.250  0.489
B  0.955  0.250  0.023
B  0.989  0.750  0.437

Results
Formation energy   -0.087 eV/atom
Space group   P2_1/m, No. 11
V   11.43 A^3/atom

---

Record 2
Density functional theory data (PBE-GGA) for a geometry-optimized TbBeB4 structure.

a = 5.900 Å, b = 5.900 Å, c = 3.388 Å
α = 90.00°, β = 90.00°, γ = 104.16°
Atoms (fractional coordinates):
Tb  0.198  0.802  0.000
Tb  0.802  0.198  0.000
Be  0.325  0.325  0.000
Be  0.675  0.675  0.000
B  0.122  0.434  0.500
B  0.126  0.126  0.500
B  0.410  0.590  0.500
B  0.434  0.122  0.500
B  0.566  0.878  0.500
B  0.590  0.410  0.500
B  0.874  0.874  0.500
B  0.878  0.566  0.500

Results
Formation energy   -0.433 eV/atom
Space group   Cmmm, No. 65
V   9.53 A^3/atom